The following is a DFT calculation (meta-GGA SCAN) of MnAl2Ni at its PBEsol-relaxed geometry.

Summary:
ρ ... 5.0 g/cm3
Energy of formation ... -0.304 eV per formula unit
M_tot ... 6.13 Bohr magnetons per cell
SG ... I-42d (122)
Total energy ... -12.56 eV/atom

Lattice parameters (Å, degrees): 5.309 5.309 5.309 103.76 103.76 121.63
Fractional positions:
Mn 0.000 0.000 0.000
Mn 0.750 0.250 0.500
Al 0.149 0.625 0.024
Al 0.375 0.399 0.524
Al 0.601 0.125 0.976
Al 0.875 0.851 0.476
Ni 0.250 0.750 0.500
Ni 0.500 0.500 0.000

The following is a DFT calculation (meta-GGA SCAN) of MnAlNi at its PBEsol-relaxed geometry.

Summary:
ρ ... 6.4 g/cm3
Energy of formation ... -1.242 eV per formula unit
M_tot ... 3.83 Bohr magnetons per cell
SG ... P3m1 (156)
Total energy ... -14.47 eV/atom

Lattice parameters (Å, degrees): 4.018 4.018 2.595 90.00 90.00 120.00
Fractional positions:
Mn 0.000 0.000 0.000
Al 0.333 0.667 0.582
Ni 0.667 0.333 0.314

The following is a DFT calculation (meta-GGA SCAN) of Mn2AlNi at its PBEsol-relaxed geometry.

Summary:
ρ ... 7.1 g/cm3
Energy of formation ... -0.955 eV per formula unit
M_tot ... 5.32 Bohr magnetons per cell
SG ... Immm (71)
Total energy ... -15.35 eV/atom

Lattice parameters (Å, degrees): 4.770 4.770 4.770 145.72 131.02 61.14
Fractional positions:
Mn 0.246 0.246 0.000
Mn 0.754 0.754 0.000
Al 0.500 0.000 0.500
Ni 0.000 0.500 0.500

The following is a DFT calculation (meta-GGA SCAN) of MnAl2Ni at its PBEsol-relaxed geometry.

Summary:
ρ ... 5.7 g/cm3
Energy of formation ... -2.458 eV per formula unit
M_tot ... 2.38 Bohr magnetons per cell
SG ... P4/mmm (123)
Total energy ... -13.10 eV/atom

Lattice parameters (Å, degrees): 2.779 2.779 6.284 90.00 90.00 90.00
Fractional positions:
Mn 0.000 0.000 0.000
Al 0.500 0.500 0.261
Al 0.500 0.500 0.739
Ni 0.000 0.000 0.500

- M_tot of number 3 (Mn2AlNi)?
  5.32 Bohr magnetons per cell

- The highest M_tot belongs to which entry?
  number 1